[1]
MgPdBr2Cl: optimized geometry, GGA-PBE.

Computed properties:
Its final energy is -14.41 eV for the cell shown. The density of states at the Fermi level is 5.3 states/eV/cell. The space-group type is No. 123. Its size of the total moment is 1.0 μB per formula unit.

Cell lengths 5.3141, 4.6773, 5.3141 Å; angles 90.00, 90.00, 90.00 degrees
Last column: nearest neighbours and their distance in Å.
Fractional coordinates of all 5 atoms:
Mg 0.0000 0.0000 0.0000  2 Cl 2.34
Br 0.0000 0.0000 0.5000  2 Mg 2.66
Br 0.5000 0.0000 0.0000  2 Mg 2.66
Pd 0.5000 0.5000 0.5000  8 Br 3.54, 4 Cl 3.76
Cl 0.0000 0.5000 0.0000  2 Mg 2.34



[2]
Mg2SeCl: optimized geometry, GGA-PBE.

Computed properties:
The density of states at the Fermi level is 1.8 states/eV/cell. The space-group type is No. 8. As for the energy above the most stable polymorph in this dataset: 0 meV/atom. Its size of the total moment is 0.7 μB per formula unit.

Cell lengths 7.2674, 7.2674, 3.8787 Å; angles 105.68, 105.68, 29.98 degrees
Last column: nearest neighbours and their distance in Å.
Fractional coordinates of all 4 atoms:
Cl 0.8043 0.8043 0.6808  3 Mg 2.51-2.53
Mg 0.9906 0.9906 0.8643  1 Cl 2.51, 4 Se 2.74-2.75
Mg 0.1782 0.1782 0.5534  2 Cl 2.53, 2 Se 2.77
Se 0.5269 0.5269 0.4015  6 Mg 2.74-2.77



[3]
SrGa2Au: optimized geometry, GGA-PBE.

Computed properties:
Its final energy is -12.20 eV for the cell shown. The density of states at the Fermi level is 2.5 states/eV/cell. The space-group type is No. 225. Its size of the total moment is 0.0 μB per formula unit.

Cell lengths 4.9685, 4.9685, 4.9685 Å; angles 60.00, 60.00, 60.00 degrees
Last column: nearest neighbours and their distance in Å.
Fractional coordinates of all 4 atoms:
Sr 0.0000 0.0000 0.0000  8 Ga 3.04
Au 0.5000 0.5000 0.5000  8 Ga 3.04
Ga 0.2500 0.2500 0.2500  4 Au 3.04, 4 Sr 3.04
Ga 0.7500 0.7500 0.7500  4 Au 3.04, 4 Sr 3.04



[4]
Ti2Be2Ir: optimized geometry, GGA-PBE.

Computed properties:
The density of states at the Fermi level is 3.8 states/eV/cell. The space-group type is No. 65. As for the energy above the most stable polymorph in this dataset: 65 meV/atom. Its size of the total moment is 0.0 μB per formula unit.

Cell lengths 2.9814, 3.5284, 6.2663 Å; angles 106.35, 90.00, 90.00 degrees
Last column: nearest neighbours and their distance in Å.
Fractional coordinates of all 5 atoms:
Ti 0.5000 0.6245 0.2490  6 Be 2.50-2.55, 4 Ir 2.75
Ti 0.5000 0.3755 0.7510  6 Be 2.50-2.55, 4 Ir 2.75
Be 0.0000 0.2031 0.4062  2 Be 2.09
Be 0.0000 0.7969 0.5938  2 Be 2.09
Ir 0.0000 0.0000 0.0000  2 Be 2.44



[5]
SrCoAu3: optimized geometry, GGA-PBE.

Computed properties:
The density of states at the Fermi level is 6.3 states/eV/cell. The space-group type is No. 221. As for the energy above the most stable polymorph in this dataset: 1307 meV/atom. Its size of the total moment is 2.4 μB per formula unit.

Cell lengths 5.6982, 5.6982, 5.6982 Å; angles 90.00, 90.00, 90.00 degrees
Last column: nearest neighbours and their distance in Å.
Fractional coordinates of all 5 atoms:
Sr 0.0000 0.0000 0.0000  6 Au 2.85
Au 0.0000 0.5000 0.0000  2 Sr 2.85
Au 0.0000 0.0000 0.5000  2 Sr 2.85
Au 0.5000 0.0000 0.0000  2 Sr 2.85
Co 0.5000 0.5000 0.5000  12 Au 4.03



[6]
ZnReTe2N: optimized geometry, GGA-PBE.

Computed properties:
The density of states at the Fermi level is 2.6 states/eV/cell. The space-group type is No. 123. As for the energy above the most stable polymorph in this dataset: 0 meV/atom. Its size of the total moment is 0.0 μB per formula unit.

Cell lengths 5.4492, 5.4492, 3.7280 Å; angles 90.00, 90.00, 90.00 degrees
Last column: nearest neighbours and their distance in Å.
Fractional coordinates of all 5 atoms:
Re 0.0000 0.0000 0.0000  2 N 1.86
Zn 0.5000 0.5000 0.5000  8 Te 3.30
Te 0.0000 0.5000 0.0000  2 Re 2.72
Te 0.5000 0.0000 0.0000  2 Re 2.72
N 0.0000 0.0000 0.5000  2 Re 1.86